Arrangement A

5
Lattice="-1.943 1.943 7.001 1.943 -1.943 7.001 1.943 1.943 -7.001" Properties=species:S:1:pos:R:3 comment="ZrNb2Hg2 (GGA-PBE, relaxed)" space_group="No. 139" volume_a3_per_atom=21.15 pbc="T T T"
Zr 0.000 0.000 0.000
Nb 1.943 0.000 3.501
Nb 0.000 1.943 3.501
Hg 0.000 0.000 5.645
Hg 0.000 0.000 8.357



Arrangement B

10
Lattice="7.530 0.000 0.000 0.000 7.530 0.000 0.000 0.000 3.669" Properties=species:S:1:pos:R:3 comment="ZrNb2Hg2 (GGA-PBE, relaxed)" space_group="No. 127" volume_a3_per_atom=20.81 pbc="T T T"
Zr 0.000 0.000 0.000
Zr 3.765 3.765 0.000
Nb 1.269 2.496 1.835
Nb 2.496 6.261 1.835
Nb 5.034 1.269 1.835
Nb 6.261 5.034 1.835
Hg 1.001 4.766 0.000
Hg 2.764 1.001 0.000
Hg 4.766 6.529 0.000
Hg 6.529 2.764 0.000



Most stable to least stable, the ends of the list are arrangement A and arrangement B.



Arrangement A

5
Lattice="5.484 -1.708 0.000 5.484 1.708 0.000 -4.806 0.000 5.646" Properties=species:S:1:pos:R:3 comment="Zr2NbHg2 (GGA-PBE, relaxed)" space_group="No. 12" volume_a3_per_atom=21.16 pbc="T T T"
Zr -0.838 0.000 2.075
Zr 7.001 0.000 3.571
Nb 5.484 0.000 0.000
Hg 2.207 0.000 1.120
Hg 3.956 0.000 4.526



Arrangement B

10
Lattice="7.925 0.000 0.000 0.000 7.925 0.000 0.000 0.000 3.467" Properties=species:S:1:pos:R:3 comment="Zr2NbHg2 (GGA-PBE, relaxed)" space_group="No. 127" volume_a3_per_atom=21.77 pbc="T T T"
Zr 1.401 2.561 0.000
Zr 2.561 6.523 0.000
Zr 5.364 1.401 0.000
Zr 6.523 5.364 0.000
Nb 0.000 0.000 1.733
Nb 3.962 3.962 1.733
Hg 1.006 4.968 1.733
Hg 2.956 1.006 1.733
Hg 4.968 6.918 1.733
Hg 6.918 2.956 1.733



Most stable to least stable, the ends of the list are arrangement A and arrangement B.



Arrangement A

10
Lattice="5.251 0.000 0.000 0.000 7.033 0.000 -5.238 0.000 6.977" Properties=species:S:1:pos:R:3 comment="NdHg4 (GGA-PBE, relaxed)" space_group="No. 14" volume_a3_per_atom=25.77 pbc="T T T"
Nd 0.000 0.000 0.000
Nd -2.619 3.517 3.488
Hg -2.607 0.442 4.919
Hg 0.012 3.075 1.431
Hg -2.623 4.954 6.540
Hg -0.004 5.596 3.052
Hg 0.017 1.437 3.925
Hg 2.636 2.079 0.437
Hg 0.001 3.959 5.546
Hg 2.620 6.592 2.057



Arrangement B

10
Lattice="-2.468 3.352 7.726 2.468 -3.352 7.726 2.468 3.352 -7.726" Properties=species:S:1:pos:R:3 comment="NdHg4 (GGA-PBE, relaxed)" space_group="No. 74" volume_a3_per_atom=25.56 pbc="T T T"
Nd 0.000 1.676 1.701
Nd 2.468 1.676 6.025
Hg 2.468 0.000 0.000
Hg 2.468 -1.676 6.165
Hg 2.468 -0.020 3.039
Hg 2.468 3.332 -3.039
Hg 0.000 0.000 7.726
Hg 0.000 0.020 10.764
Hg 0.000 3.372 4.687
Hg 0.000 5.028 1.561



Most stable to least stable, the ends of the list are arrangement B and arrangement A.